No. 1
A plane-wave DFT calculation with PBE was carried out for an optimized crystal structure of Tl2AgSeBr6.

```
data_Tl2AgSeBr6
_symmetry_space_group_name_H-M 'P 1'
_symmetry_Int_Tables_number 1
_cell_length_a 7.7137
_cell_length_b 7.7881
_cell_length_c 11.1163
_cell_angle_alpha 90.00
_cell_angle_beta 90.00
_cell_angle_gamma 90.00
loop_
_symmetry_equiv_pos_as_xyz
'x,y,z'
loop_
_atom_site_label
_atom_site_fract_x
_atom_site_fract_y
_atom_site_fract_z
Br1 0.5000 0.2355 0.2646
Br2 0.7342 0.5219 0.0000
Br3 0.5000 0.2355 0.7354
Br4 0.0000 0.7645 0.7646
Br5 0.0000 0.7645 0.2354
Br6 0.2597 0.0142 0.0000
Br7 0.7403 0.0142 0.0000
Br8 0.2403 0.9858 0.5000
Br9 0.2342 0.4781 0.5000
Br10 0.7658 0.4781 0.5000
Br11 0.2658 0.5219 0.0000
Br12 0.7597 0.9858 0.5000
Ag1 0.0000 0.7329 0.5000
Ag2 0.5000 0.2671 0.0000
Tl1 0.0000 0.2111 0.7016
Tl2 0.0000 0.2111 0.2984
Tl3 0.5000 0.7889 0.7984
Tl4 0.5000 0.7889 0.2016
Se1 0.5000 0.2420 0.5000
Se2 0.0000 0.7580 0.0000
```

Raw formation energy = -0.41 eV per atom

No. 2
A plane-wave DFT calculation with PBE was carried out for an optimized crystal structure of Pm2UFe2.

```
data_Pm2UFe2
_symmetry_space_group_name_H-M 'P 1'
_symmetry_Int_Tables_number 1
_cell_length_a 6.2218
_cell_length_b 6.2218
_cell_length_c 7.1241
_cell_angle_alpha 73.80
_cell_angle_beta 73.80
_cell_angle_gamma 60.19
loop_
_symmetry_equiv_pos_as_xyz
'x,y,z'
loop_
_atom_site_label
_atom_site_fract_x
_atom_site_fract_y
_atom_site_fract_z
Fe1 0.9909 0.7168 0.9941
Fe2 0.0091 0.2832 0.0059
Fe3 0.7168 0.9909 0.4941
Fe4 0.2832 0.0091 0.5059
U1 0.0011 0.9989 0.2500
U2 0.9989 0.0011 0.7500
Pm1 0.7616 0.5531 0.3718
Pm2 0.4469 0.2384 0.1282
Pm3 0.5531 0.7616 0.8718
Pm4 0.2384 0.4469 0.6282
```

Energy relative to the elements = -0.101 eV/atom

No. 3
A plane-wave DFT calculation with PBE was carried out for an optimized crystal structure of Mn3CuH.

```
data_Mn3CuH
_symmetry_space_group_name_H-M 'P 1'
_symmetry_Int_Tables_number 1
_cell_length_a 3.6255
_cell_length_b 3.6255
_cell_length_c 3.6255
_cell_angle_alpha 90.00
_cell_angle_beta 90.00
_cell_angle_gamma 90.00
loop_
_symmetry_equiv_pos_as_xyz
'x,y,z'
loop_
_atom_site_label
_atom_site_fract_x
_atom_site_fract_y
_atom_site_fract_z
Mn1 0.0000 0.0000 0.5000
Mn2 0.0000 0.5000 0.0000
Mn3 0.5000 0.0000 0.0000
Cu1 0.5000 0.5000 0.5000
H1 0.0000 0.0000 0.0000
```

ΔE to the lowest computed polymorph = 0.0 meV per atom

No. 4
A plane-wave DFT calculation with PBE was carried out for an optimized crystal structure of NpBiF.

```
data_NpBiF
_symmetry_space_group_name_H-M 'P 1'
_symmetry_Int_Tables_number 1
_cell_length_a 3.3671
_cell_length_b 3.3671
_cell_length_c 6.4955
_cell_angle_alpha 105.02
_cell_angle_beta 105.02
_cell_angle_gamma 90.00
loop_
_symmetry_equiv_pos_as_xyz
'x,y,z'
loop_
_atom_site_label
_atom_site_fract_x
_atom_site_fract_y
_atom_site_fract_z
F1 0.2852 0.2852 0.5704
Np1 0.7104 0.7104 0.4207
Bi1 0.0044 0.0044 0.0088
```

Raw formation energy = -1.23 eV per atom
ΔE to the lowest computed polymorph = 82.2 meV per atom

No. 5
A plane-wave DFT calculation with PBE was carried out for an optimized crystal structure of Ba2MnBe.

```
data_Ba2MnBe
_symmetry_space_group_name_H-M 'P 1'
_symmetry_Int_Tables_number 1
_cell_length_a 8.3080
_cell_length_b 8.3080
_cell_length_c 8.3080
_cell_angle_alpha 150.42
_cell_angle_beta 148.50
_cell_angle_gamma 43.75
loop_
_symmetry_equiv_pos_as_xyz
'x,y,z'
loop_
_atom_site_label
_atom_site_fract_x
_atom_site_fract_y
_atom_site_fract_z
Ba1 0.7485 0.2485 0.5000
Ba2 0.9995 0.9995 0.0000
Mn1 0.3466 0.8466 0.5000
Be1 0.4054 0.4054 0.0000
```

Energy relative to the elements = 0.506 eV/atom

No. 6
A plane-wave DFT calculation with PBE was carried out for an optimized crystal structure of Y6GaAg5.

```
data_Y6GaAg5
_symmetry_space_group_name_H-M 'P 1'
_symmetry_Int_Tables_number 1
_cell_length_a 5.1348
_cell_length_b 7.3019
_cell_length_c 8.1165
_cell_angle_alpha 90.01
_cell_angle_beta 71.56
_cell_angle_gamma 90.02
loop_
_symmetry_equiv_pos_as_xyz
'x,y,z'
loop_
_atom_site_label
_atom_site_fract_x
_atom_site_fract_y
_atom_site_fract_z
Ag1 0.3319 0.5000 0.3361
Ag2 0.3340 0.0000 0.3319
Ag3 0.0000 0.5000 0.0000
Ag4 0.6681 0.5000 0.6639
Ag5 0.6660 0.0000 0.6681
Y1 0.1652 0.2492 0.6696
Y2 0.1652 0.7508 0.6696
Y3 0.8348 0.2492 0.3304
Y4 0.4999 0.7516 0.0000
Y5 0.5001 0.2484 0.0000
Y6 0.8348 0.7508 0.3304
Ga1 0.0000 0.0000 0.0000
```

Energy relative to the elements = -0.380 eV/atom

No. 7
A plane-wave DFT calculation with PBE was carried out for an optimized crystal structure of Li4YHo.

```
data_Li4YHo
_symmetry_space_group_name_H-M 'P 1'
_symmetry_Int_Tables_number 1
_cell_length_a 5.8396
_cell_length_b 5.8396
_cell_length_c 5.8396
_cell_angle_alpha 60.00
_cell_angle_beta 60.00
_cell_angle_gamma 60.00
loop_
_symmetry_equiv_pos_as_xyz
'x,y,z'
loop_
_atom_site_label
_atom_site_fract_x
_atom_site_fract_y
_atom_site_fract_z
Ho1 0.2500 0.2500 0.2500
Li1 0.1249 0.6250 0.6250
Li2 0.6250 0.1249 0.6250
Li3 0.6250 0.6250 0.1249
Li4 0.6250 0.6250 0.6250
Y1 0.0000 0.0000 0.0000
```

Energy relative to the elements = 0.115 eV/atom

No. 8
A plane-wave DFT calculation with PBE was carried out for an optimized crystal structure of ZrAsCl2.

```
data_ZrAsCl2
_symmetry_space_group_name_H-M 'P 1'
_symmetry_Int_Tables_number 1
_cell_length_a 4.6767
_cell_length_b 4.1607
_cell_length_c 4.1607
_cell_angle_alpha 90.00
_cell_angle_beta 90.00
_cell_angle_gamma 90.00
loop_
_symmetry_equiv_pos_as_xyz
'x,y,z'
loop_
_atom_site_label
_atom_site_fract_x
_atom_site_fract_y
_atom_site_fract_z
Zr1 0.5000 0.5000 0.0000
Cl1 0.0000 0.5000 0.5000
Cl2 0.0000 0.0000 0.0000
As1 0.5000 0.0000 0.5000
```

Raw formation energy = -0.26 eV per atom
ΔE to the lowest computed polymorph = 806.3 meV per atom

Copy entry 8 word for word.
A plane-wave DFT calculation with PBE was carried out for an optimized crystal structure of ZrAsCl2.

```
data_ZrAsCl2
_symmetry_space_group_name_H-M 'P 1'
_symmetry_Int_Tables_number 1
_cell_length_a 4.6767
_cell_length_b 4.1607
_cell_length_c 4.1607
_cell_angle_alpha 90.00
_cell_angle_beta 90.00
_cell_angle_gamma 90.00
loop_
_symmetry_equiv_pos_as_xyz
'x,y,z'
loop_
_atom_site_label
_atom_site_fract_x
_atom_site_fract_y
_atom_site_fract_z
Zr1 0.5000 0.5000 0.0000
Cl1 0.0000 0.5000 0.5000
Cl2 0.0000 0.0000 0.0000
As1 0.5000 0.0000 0.5000
```

Raw formation energy = -0.26 eV per atom
ΔE to the lowest computed polymorph = 806.3 meV per atom